Compound: Er2HfCd
Source: Alexandria
Functional: GGA-PBE
Structure: relaxed

Unit cell a=11.8601 b=11.8601 c=11.8601 alpha=15.69 beta=15.69 gamma=15.69
Positions (direct):
Er  0.0903  0.0903  0.0903
Er  0.9097  0.9097  0.9097
Hf  0.0000  0.0000  0.0000
Cd  0.5000  0.5000  0.5000

Summary:
* symmetry: R-3m, No. 166
* DFT total energy: -0.3443 Ry per atom
* total moment: 0.0 μB/cell